<A>
A relaxed structure of VPd3I, computed with PBE.

The structure in POSCAR format:
```
VPd3I
1.0
4.940 0.000 0.000
0.000 4.940 0.000
0.000 0.000 4.940
V Pd I
1 3 1
direct
0.000 0.000 0.000
0.000 0.500 0.500
0.500 0.000 0.500
0.500 0.500 0.000
0.500 0.500 0.500
```

Calculated values
Calculated volume (Å³/cell): 120.55
Density (g/cm³): 6.85
Symmetry: No. 221

---

<B>
A relaxed structure of VPd3I, computed with PBE.

The structure in POSCAR format:
```
VPd3I
1.0
4.763 0.000 0.000
0.000 4.763 0.000
0.000 0.000 4.763
V Pd I
1 3 1
direct
0.000 0.000 0.000
0.000 0.000 0.500
0.000 0.500 0.000
0.500 0.000 0.000
0.500 0.500 0.500
```

Calculated values
Calculated volume (Å³/cell): 108.06
Density (g/cm³): 7.64
Symmetry: No. 221

---

The least stable of them is <A>.